Arrangement P

{
  "formula": "Be2ZnO",
  "functional": "PBE",
  "state": "relaxed",
  "sg": "Fm-3m, No. 225",
  "volume_a3_per_cell": 170.70,
  "cell": [[5.547, 0.000, 0.000], [0.000, 5.547, 0.000], [0.000, 0.000, 5.547]],
  "species": ["Be", "Be", "Be", "Be", "Be", "Be", "Be", "Be", "Zn", "Zn", "Zn", "Zn", "O", "O", "O", "O"],
  "frac_coords": [[0.250, 0.250, 0.250], [0.250, 0.250, 0.750], [0.250, 0.750, 0.250], [0.250, 0.750, 0.750], [0.750, 0.250, 0.250], [0.750, 0.250, 0.750], [0.750, 0.750, 0.250], [0.750, 0.750, 0.750], [0.000, 0.000, 0.000], [0.000, 0.500, 0.500], [0.500, 0.000, 0.500], [0.500, 0.500, 0.000], [0.000, 0.000, 0.500], [0.000, 0.500, 0.000], [0.500, 0.000, 0.000], [0.500, 0.500, 0.500]]
}

Arrangement Q

{
  "formula": "Be2ZnO",
  "functional": "PBE",
  "state": "relaxed",
  "sg": "I-42d, No. 122",
  "volume_a3_per_cell": 166.99,
  "cell": [[4.947, 0.000, 0.000], [0.000, 4.947, 0.000], [0.000, 0.000, 6.823]],
  "species": ["Be", "Be", "Be", "Be", "Be", "Be", "Be", "Be", "Zn", "Zn", "Zn", "Zn", "O", "O", "O", "O"],
  "frac_coords": [[0.130, 0.250, 0.125], [0.250, 0.630, 0.375], [0.250, 0.870, 0.875], [0.370, 0.250, 0.625], [0.630, 0.750, 0.625], [0.750, 0.130, 0.875], [0.750, 0.370, 0.375], [0.870, 0.750, 0.125], [0.000, 0.000, 0.500], [0.000, 0.500, 0.750], [0.500, 0.000, 0.250], [0.500, 0.500, 0.000], [0.000, 0.000, 0.000], [0.000, 0.500, 0.250], [0.500, 0.000, 0.750], [0.500, 0.500, 0.500]]
}

The winner here is arrangement Q, beating the second structure by 137.7 kJ/mol of atoms.

Arrangement P

{
  "formula": "BeZn3O4",
  "functional": "PBE",
  "state": "relaxed",
  "sg": "Pmn2_1, No. 31",
  "volume_a3_per_cell": 172.55,
  "cell": [[6.250, 0.000, 0.000], [0.000, 5.427, 0.000], [0.000, 0.000, 5.088]],
  "species": ["Be", "Be", "Zn", "Zn", "Zn", "Zn", "Zn", "Zn", "O", "O", "O", "O", "O", "O", "O", "O"],
  "frac_coords": [[0.000, 0.173, 0.000], [0.500, 0.827, 0.500], [0.000, 0.847, 0.503], [0.248, 0.672, 0.001], [0.252, 0.328, 0.501], [0.500, 0.153, 0.003], [0.748, 0.328, 0.501], [0.752, 0.672, 0.001], [0.000, 0.177, 0.675], [0.000, 0.882, 0.110], [0.222, 0.318, 0.108], [0.278, 0.682, 0.608], [0.500, 0.118, 0.610], [0.500, 0.823, 0.175], [0.722, 0.682, 0.608], [0.778, 0.318, 0.108]]
}

Arrangement Q

{
  "formula": "BeZn3O4",
  "functional": "PBE",
  "state": "relaxed",
  "sg": "I-42m, No. 121",
  "volume_a3_per_cell": 172.18,
  "cell": [[4.437, 0.000, 0.000], [0.000, 4.437, 0.000], [0.000, 0.000, 8.746]],
  "species": ["Be", "Be", "Zn", "Zn", "Zn", "Zn", "Zn", "Zn", "O", "O", "O", "O", "O", "O", "O", "O"],
  "frac_coords": [[0.000, 0.000, 0.000], [0.500, 0.500, 0.500], [0.000, 0.000, 0.500], [0.000, 0.500, 0.250], [0.000, 0.500, 0.750], [0.500, 0.000, 0.250], [0.500, 0.000, 0.750], [0.500, 0.500, 0.000], [0.218, 0.218, 0.889], [0.218, 0.782, 0.111], [0.282, 0.282, 0.389], [0.282, 0.718, 0.611], [0.718, 0.282, 0.611], [0.718, 0.718, 0.389], [0.782, 0.218, 0.111], [0.782, 0.782, 0.889]]
}

The winner here is arrangement P, beating the second structure by 1.3 kJ/mol of atoms.

Arrangement P

{
  "formula": "ZrBe3O",
  "functional": "PBE",
  "state": "relaxed",
  "sg": "Pm-3m, No. 221",
  "volume_a3_per_cell": 111.91,
  "cell": [[4.819, 0.000, 0.000], [0.000, 4.819, 0.000], [0.000, 0.000, 4.819]],
  "species": ["Zr", "Be", "Be", "Be", "O"],
  "frac_coords": [[0.000, 0.000, 0.000], [0.000, 0.000, 0.500], [0.000, 0.500, 0.000], [0.500, 0.000, 0.000], [0.500, 0.500, 0.500]]
}

Arrangement Q

{
  "formula": "ZrBe3O",
  "functional": "PBE",
  "state": "relaxed",
  "sg": "Pm-3m, No. 221",
  "volume_a3_per_cell": 57.01,
  "cell": [[3.849, 0.000, 0.000], [0.000, 3.849, 0.000], [0.000, 0.000, 3.849]],
  "species": ["Zr", "Be", "Be", "Be", "O"],
  "frac_coords": [[0.000, 0.000, 0.000], [0.000, 0.500, 0.500], [0.500, 0.000, 0.500], [0.500, 0.500, 0.000], [0.500, 0.500, 0.500]]
}

The winner here is arrangement Q, beating the second structure by 218.9 kJ/mol of atoms.

Arrangement P

{
  "formula": "Be2Os",
  "functional": "PBE",
  "state": "relaxed",
  "sg": "Fm-3m, No. 225",
  "volume_a3_per_cell": 147.66,
  "cell": [[5.285, 0.000, 0.000], [0.000, 5.285, 0.000], [0.000, 0.000, 5.285]],
  "species": ["Be", "Be", "Be", "Be", "Be", "Be", "Be", "Be", "Os", "Os", "Os", "Os"],
  "frac_coords": [[0.250, 0.250, 0.250], [0.250, 0.250, 0.750], [0.250, 0.750, 0.250], [0.250, 0.750, 0.750], [0.750, 0.250, 0.250], [0.750, 0.250, 0.750], [0.750, 0.750, 0.250], [0.750, 0.750, 0.750], [0.000, 0.000, 0.000], [0.000, 0.500, 0.500], [0.500, 0.000, 0.500], [0.500, 0.500, 0.000]]
}

Arrangement Q

{
  "formula": "Be2Os",
  "functional": "PBE",
  "state": "relaxed",
  "sg": "C2/m, No. 12",
  "volume_a3_per_cell": 122.86,
  "cell": [[8.249, 0.000, 0.000], [0.000, 3.139, 0.000], [-1.548, 0.000, 4.744]],
  "species": ["Be", "Be", "Be", "Be", "Be", "Be", "Be", "Be", "Os", "Os", "Os", "Os"],
  "frac_coords": [[0.000, 0.000, 0.000], [0.000, 0.000, 0.500], [0.175, 0.500, 0.337], [0.325, 0.000, 0.663], [0.500, 0.500, 0.000], [0.500, 0.500, 0.500], [0.675, 0.000, 0.337], [0.825, 0.500, 0.663], [0.139, 0.500, 0.801], [0.361, 0.000, 0.199], [0.639, 0.000, 0.801], [0.861, 0.500, 0.199]]
}

Arrangement R

{
  "formula": "Be2Os",
  "functional": "PBE",
  "state": "relaxed",
  "sg": "I4/mcm, No. 140",
  "volume_a3_per_cell": 132.34,
  "cell": [[4.630, 0.000, 0.000], [0.000, 4.630, 0.000], [0.000, 0.000, 6.174]],
  "species": ["Be", "Be", "Be", "Be", "Be", "Be", "Be", "Be", "Os", "Os", "Os", "Os"],
  "frac_coords": [[0.184, 0.316, 0.000], [0.184, 0.684, 0.500], [0.316, 0.184, 0.500], [0.316, 0.816, 0.000], [0.684, 0.184, 0.000], [0.684, 0.816, 0.500], [0.816, 0.316, 0.500], [0.816, 0.684, 0.000], [0.000, 0.000, 0.250], [0.000, 0.000, 0.750], [0.500, 0.500, 0.250], [0.500, 0.500, 0.750]]
}

The winner here is arrangement Q, beating the second structure by 29.5 kJ/mol of atoms.

Arrangement P

{
  "formula": "Be2Os",
  "functional": "PBE",
  "state": "relaxed",
  "sg": "I4_1/amd, No. 141",
  "volume_a3_per_cell": 123.74,
  "cell": [[-1.700, 1.700, 10.701], [1.700, -1.700, 10.701], [1.700, 1.700, -10.701]],
  "species": ["Be", "Be", "Be", "Be", "Be", "Be", "Be", "Be", "Os", "Os", "Os", "Os"],
  "frac_coords": [[0.125, 0.375, 0.750], [0.286, 0.536, 0.750], [0.375, 0.125, 0.250], [0.464, 0.714, 0.750], [0.536, 0.286, 0.250], [0.625, 0.875, 0.750], [0.714, 0.464, 0.250], [0.875, 0.625, 0.250], [0.054, 0.804, 0.250], [0.196, 0.946, 0.250], [0.804, 0.054, 0.750], [0.946, 0.196, 0.750]]
}

Arrangement Q

{
  "formula": "Be2Os",
  "functional": "PBE",
  "state": "relaxed",
  "sg": "Cmcm, No. 63",
  "volume_a3_per_cell": 136.47,
  "cell": [[2.706, 0.000, 0.000], [0.000, 12.175, 0.000], [0.000, 0.000, 4.142]],
  "species": ["Be", "Be", "Be", "Be", "Be", "Be", "Be", "Be", "Os", "Os", "Os", "Os"],
  "frac_coords": [[0.000, 0.060, 0.250], [0.000, 0.394, 0.250], [0.000, 0.606, 0.750], [0.000, 0.940, 0.750], [0.500, 0.106, 0.750], [0.500, 0.440, 0.750], [0.500, 0.560, 0.250], [0.500, 0.894, 0.250], [0.000, 0.283, 0.750], [0.000, 0.717, 0.250], [0.500, 0.217, 0.250], [0.500, 0.783, 0.750]]
}

The winner here is arrangement P, beating the second structure by 30.0 kJ/mol of atoms.

Arrangement P

{
  "formula": "Be2Os",
  "functional": "PBE",
  "state": "relaxed",
  "sg": "P4/mmm, No. 123",
  "volume_a3_per_cell": 40.11,
  "cell": [[3.977, 0.000, 0.000], [0.000, 3.977, 0.000], [0.000, 0.000, 2.536]],
  "species": ["Be", "Be", "Os"],
  "frac_coords": [[0.000, 0.500, 0.000], [0.500, 0.000, 0.000], [0.000, 0.000, 0.500]]
}

Arrangement Q

{
  "formula": "Be2Os",
  "functional": "PBE",
  "state": "relaxed",
  "sg": "P-62m, No. 189",
  "volume_a3_per_cell": 98.79,
  "cell": [[6.763, 0.000, 0.000], [-3.381, 5.857, 0.000], [0.000, 0.000, 2.494]],
  "species": ["Be", "Be", "Be", "Be", "Be", "Be", "Os", "Os", "Os"],
  "frac_coords": [[0.000, 0.306, 0.000], [0.000, 0.634, 0.500], [0.306, 0.000, 0.000], [0.366, 0.366, 0.500], [0.634, 0.000, 0.500], [0.694, 0.694, 0.000], [0.000, 0.000, 0.500], [0.333, 0.667, 0.000], [0.667, 0.333, 0.000]]
}

Arrangement R

{
  "formula": "Be2Os",
  "functional": "PBE",
  "state": "relaxed",
  "sg": "I4_1/amd, No. 141",
  "volume_a3_per_cell": 119.18,
  "cell": [[3.043, 0.000, 0.000], [0.000, 3.043, 0.000], [0.000, 0.000, 12.874]],
  "species": ["Be", "Be", "Be", "Be", "Be", "Be", "Be", "Be", "Os", "Os", "Os", "Os"],
  "frac_coords": [[0.000, 0.250, 0.297], [0.000, 0.250, 0.453], [0.000, 0.750, 0.547], [0.000, 0.750, 0.703], [0.500, 0.250, 0.047], [0.500, 0.250, 0.203], [0.500, 0.750, 0.797], [0.500, 0.750, 0.953], [0.000, 0.250, 0.875], [0.000, 0.750, 0.125], [0.500, 0.250, 0.625], [0.500, 0.750, 0.375]]
}

Arrangement S

{
  "formula": "Be2Os",
  "functional": "PBE",
  "state": "relaxed",
  "sg": "Cmcm, No. 63",
  "volume_a3_per_cell": 122.13,
  "cell": [[3.252, 0.000, 0.000], [0.000, 12.278, 0.000], [0.000, 0.000, 3.059]],
  "species": ["Be", "Be", "Be", "Be", "Be", "Be", "Be", "Be", "Os", "Os", "Os", "Os"],
  "frac_coords": [[0.000, 0.063, 0.250], [0.000, 0.244, 0.750], [0.000, 0.756, 0.250], [0.000, 0.937, 0.750], [0.500, 0.256, 0.250], [0.500, 0.437, 0.750], [0.500, 0.563, 0.250], [0.500, 0.744, 0.750], [0.000, 0.401, 0.250], [0.000, 0.599, 0.750], [0.500, 0.099, 0.750], [0.500, 0.901, 0.250]]
}

The winner here is arrangement S, beating the second structure by 16.4 kJ/mol of atoms.